# 1
DFT (PBE) results for a geometry-optimized CaZr2InN structure.

CIF file:
```
data_CaZr2InN
_chemical_formula_sum 'Ca1 Zr2 In1 N1'
_cell_length_a 4.538
_cell_length_b 4.538
_cell_length_c 4.814
_cell_angle_alpha 90.00
_cell_angle_beta 90.00
_cell_angle_gamma 90.00
_symmetry_space_group_name_H-M 'P 4/m m m'
_symmetry_Int_Tables_number 123
_symmetry_space_group_name_Hall '-P 4 2'
loop_
_atom_site_label
_atom_site_fract_x
_atom_site_fract_y
_atom_site_fract_z
Ca1 0.000 0.000 0.000
Zr1 0.000 0.500 0.500
In1 0.500 0.500 0.000
N1 0.000 0.000 0.500
```

Calculated values
Final energy in eV per atom: -6.784
DOS at the Fermi energy in states/eV per atom: 0.580
Crystal system: tetragonal

# 2
DFT (PBE) results for a geometry-optimized CsTeP3 structure.

CIF file:
```
data_CsTeP3
_chemical_formula_sum 'Cs1 Te1 P3'
_cell_length_a 5.303
_cell_length_b 5.303
_cell_length_c 5.303
_cell_angle_alpha 90.00
_cell_angle_beta 90.00
_cell_angle_gamma 90.00
_symmetry_space_group_name_H-M 'P m -3 m'
_symmetry_Int_Tables_number 221
_symmetry_space_group_name_Hall '-P 4 2 3'
loop_
_atom_site_label
_atom_site_fract_x
_atom_site_fract_y
_atom_site_fract_z
Cs1 0.000 0.000 0.000
Te1 0.500 0.500 0.500
P1 0.000 0.500 0.500
```

Calculated values
Final energy in eV per atom: -3.291
Relative energy among the computed polymorphs in meV per atom: 0.0
DOS at the Fermi energy in states/eV per atom: 1.438
Crystal system: cubic

# 3
DFT (PBE) results for a geometry-optimized NaGe6Te8 structure.

CIF file:
```
data_NaGe6Te8
_chemical_formula_sum 'Na3 Ge18 Te24'
_cell_length_a 10.4038
_cell_length_b 10.4038
_cell_length_c 14.8909
_cell_angle_alpha 90.00
_cell_angle_beta 90.00
_cell_angle_gamma 120.00
_symmetry_space_group_name_H-M 'R -3'
_symmetry_Int_Tables_number 148
_symmetry_space_group_name_Hall '-R 3'
loop_
_atom_site_label
_atom_site_fract_x
_atom_site_fract_y
_atom_site_fract_z
Na1 0.0000 0.0000 0.0000
Ge1 0.0096 0.7809 0.6193
Te1 0.0000 0.0000 0.2769
Te2 0.0298 0.7370 0.0989
```

Calculated values
Final energy in eV per atom: -3.677
Relative energy among the computed polymorphs in meV per atom: 24.6
DOS at the Fermi energy in states/eV per atom: 0.570
Crystal system: trigonal

Magnetization? In order: 0.000 0.000 0.000 μB/atom.